1.
This record from Alexandria describes an optimized crystal structure of Ca2FeP2. The functional is GGA-PBE.

Computed properties:
Formation energy in kJ/mol of atoms: -5

```
Ca2FeP2
1.0
8.2251 0.0000 0.0000
0.0000 8.2251 0.0000
0.0000 0.0000 3.1544
Ca Fe P
4 2 4
Cartesian
1.1081 3.0044 0.0000
3.0044 7.1170 0.0000
5.2207 1.1081 0.0000
7.1170 5.2207 0.0000
0.0000 0.0000 0.0000
4.1126 4.1126 0.0000
1.3836 5.4962 1.5772
2.7290 1.3836 1.5772
5.4962 6.8415 1.5772
6.8415 2.7290 1.5772
```

=====

2.
This record from Alexandria describes an optimized crystal structure of Cs2RbTaTe4. The functional is GGA-PBE.

Computed properties:
Raw formation energy in eV per atom: -0.706

```
Cs2RbTaTe4
1.0
0.0000 7.4199 14.6798
4.1289 0.0000 14.6798
4.1289 7.4199 0.0000
Cs Rb Ta Te
4 2 2 8
Cartesian
3.0967 5.5649 1.9209
5.1611 9.2748 9.2608
3.0967 5.5649 20.0987
5.1611 9.2748 27.4386
1.0322 1.8550 3.6699
7.2255 12.9847 25.6896
3.0967 5.5649 11.0098
5.1611 9.2748 18.3497
4.5375 4.0007 9.4488
4.5375 7.1291 12.5709
6.6019 7.7107 19.9108
1.6559 4.0007 12.5709
6.6019 10.8390 16.7887
1.6559 7.1291 9.4488
3.7203 7.7107 16.7887
3.7203 10.8390 19.9108
```

=====

3.
This record from Alexandria describes an optimized crystal structure of PmSm2TcN4. The functional is GGA-PBE.

Computed properties:
Raw formation energy in eV per atom: -0.976

```
PmSm2TcN4
1.0
1.7494 -5.9515 0.0000
1.7494 5.9515 0.0000
0.0000 0.0000 11.8908
Pm Sm Tc N
2 4 2 8
Cartesian
1.7494 4.4655 8.9181
1.7494 -4.4655 2.9727
1.7494 1.5691 6.4239
1.7494 1.5691 11.4122
1.7494 -1.5691 0.4785
1.7494 -1.5691 5.4668
1.7494 4.2537 2.9727
1.7494 -4.2537 8.9181
0.0000 0.0000 0.0000
0.0000 0.0000 5.9454
1.7494 2.7793 1.5870
1.7494 2.7793 4.3584
1.7494 0.7599 8.9181
1.7494 -0.7599 2.9727
1.7494 -2.7793 7.5324
1.7494 -2.7793 10.3038
```

=====

4.
This record from Alexandria describes an optimized crystal structure of SiW3Se. The functional is GGA-PBE.

Computed properties:
Energy above the lowest structure with this stoichiometry in eV/atom: 0.0000
Raw formation energy in eV per atom: 1.566

```
SiW3Se
1.0
4.5539 0.0000 0.0000
0.0000 4.5539 0.0000
0.0000 0.0000 4.5539
Si W Se
1 3 1
Cartesian
0.0000 0.0000 0.0000
0.0000 0.0000 2.2770
0.0000 2.2770 0.0000
2.2770 0.0000 0.0000
2.2770 2.2770 2.2770
```

=====

5.
This record from Alexandria describes an optimized crystal structure of ZrZnCr2. The functional is GGA-PBE.

Computed properties:
Formation energy in kJ/mol of atoms: 35

```
ZrZnCr2
1.0
2.6136 0.0000 0.0000
0.0000 4.3234 0.0000
-0.8969 0.0000 5.3267
Zr Zn Cr
1 1 2
Cartesian
0.0000 0.0000 0.0000
0.8583 0.0000 2.6633
-0.1131 2.1617 3.7528
1.8298 2.1617 1.5739
```

=====

6.
This record from Alexandria describes an optimized crystal structure of KGe2Sb. The functional is GGA-PBE.

Computed properties:
Raw formation energy in eV per atom: 0.092

```
KGe2Sb
1.0
-4.1401 4.1401 3.4198
4.1401 -4.1401 3.4198
4.1401 4.1401 -3.4198
K Ge Sb
2 4 2
Cartesian
0.0000 0.0000 0.0000
0.0000 4.1401 1.7099
2.0701 -1.6330 2.5649
2.5071 2.0701 0.8550
2.0701 5.7731 -0.8550
1.6330 2.0701 4.2748
4.1401 0.0000 1.7099
0.0000 0.0000 3.4198
```

=====

7.
This record from Alexandria describes an optimized crystal structure of Pm4HoTl2. The functional is GGA-PBE.

Computed properties:
Formation energy in kJ/mol of atoms: 3
Energy above the lowest structure with this stoichiometry in eV/atom: 0.0000

```
Pm4HoTl2
1.0
2.7899 1.6107 8.9609
-2.7899 1.6107 8.9609
0.0000 -3.2215 8.9609
Pm Ho Tl
4 1 2
Cartesian
0.0000 0.0000 3.5138
0.0000 0.0000 7.1846
0.0000 0.0000 19.6981
0.0000 0.0000 23.3689
0.0000 0.0000 13.4414
0.0000 0.0000 10.3643
0.0000 0.0000 16.5185
```

=====

- Which formula does entry 5 have?
  ZrZnCr2

=====

Repeat the fifth record exactly.
This record from Alexandria describes an optimized crystal structure of ZrZnCr2. The functional is GGA-PBE.

Computed properties:
Formation energy in kJ/mol of atoms: 35

```
ZrZnCr2
1.0
2.6136 0.0000 0.0000
0.0000 4.3234 0.0000
-0.8969 0.0000 5.3267
Zr Zn Cr
1 1 2
Cartesian
0.0000 0.0000 0.0000
0.8583 0.0000 2.6633
-0.1131 2.1617 3.7528
1.8298 2.1617 1.5739
```